1.
# BaCr2FeCo

A geometry-optimized BaCr2FeCo structure (PBE, Alexandria via LeMat-Bulk).

a b c (Å): 4.627 4.731 4.627
angles (deg): 90.00 90.00 90.00
Each line ends with the local moment (μB).
Fractional coordinates of all 5 atoms:
Cr 0.000 0.000 0.500  2.96
Cr 0.500 0.000 0.000  3.11
Co 0.000 0.000 0.000  0.04
Ba 0.500 0.500 0.500  -0.01
Fe 0.000 0.500 0.000  2.89


2.
# BaHfCrCo2

A geometry-optimized BaHfCrCo2 structure (PBE, Alexandria via LeMat-Bulk).

a b c (Å): 4.725 4.970 4.725
angles (deg): 90.00 90.00 90.00
Each line ends with the local moment (μB).
Fractional coordinates of all 5 atoms:
Co 0.000 0.000 0.500  0.84
Co 0.500 0.000 0.000  0.86
Hf 0.500 0.500 0.500  -0.31
Ba 0.000 0.000 0.000  -0.06
Cr 0.000 0.500 0.000  3.29


3.
# BaCr2InCo

A geometry-optimized BaCr2InCo structure (PBE, Alexandria via LeMat-Bulk).

a b c (Å): 5.202 6.400 5.202
angles (deg): 90.00 90.00 90.00
Each line ends with the local moment (μB).
Fractional coordinates of all 5 atoms:
Cr 0.000 0.000 0.500  3.97
Cr 0.500 0.000 0.000  3.77
Co 0.500 0.500 0.500  -2.05
Ba 0.000 0.500 0.000  0.00
In 0.000 0.000 0.000  -0.13


Number 1: energy of formation from the pure elements 919 meV/atom, DFT total energy -32.14 eV for the cell shown. Number 2: energy of formation from the pure elements 2089 meV/atom, DFT total energy -25.27 eV for the cell shown. Number 3: energy of formation from the pure elements 1514 meV/atom, DFT total energy -23.45 eV for the cell shown.